An optimized crystal structure of V3SnH, computed with PBE.

Calculated values
**Crystal system**: trigonal
**SG**: R-3 (148)

Cell and atoms, written as extended XYZ:
```
10
Lattice="2.6009 1.5016 6.3447 -2.6009 1.5016 6.3447 0.0000 -3.0033 6.3447" Properties=species:S:1:pos:R:3 pbc="T T T"
V -0.8795 -1.4419 8.6672
V -1.6885 0.0407 10.3669
V -0.8090 1.4826 8.6672
V 0.8090 -1.4826 10.3669
V 1.6885 -0.0407 8.6672
V 0.8795 1.4419 10.3669
Sn 0.0000 0.0000 6.3450
Sn 0.0000 0.0000 12.6891
H 0.0000 0.0000 3.0851
H 0.0000 0.0000 15.9490
```

An optimized crystal structure of Np2Si3Pd, computed with PBE.

Calculated values
**Crystal system**: monoclinic
**SG**: Cm (8)
**Formation energy without anion corrections**: -0.36 eV/atom

Cell and atoms, written as extended XYZ:
```
6
Lattice="4.9643 -2.0749 0.0000 4.9643 2.0749 0.0000 -3.4533 0.0000 5.1110" Properties=species:S:1:pos:R:3 pbc="T T T"
Np 0.0000 0.0000 0.0000
Np -1.6278 0.0000 3.5607
Si 1.3340 0.0000 3.0225
Si 3.1067 0.0000 1.2267
Si 7.0357 0.0000 0.4518
Pd 5.2993 0.0000 2.2266
```

We obtain electronic total energy values of -6.77 -8.25 eV per atom for the records listed above, in that order.
We obtain magnetic moment values of 0.000 0.628 μB per atom for the records listed above, in that order.